#a
A geometry-optimized Hf3Ti2Ga3 structure. Source: Alexandria via LeMat-Bulk, functional GGA-PBE.

Cell and atoms, written as CIF:
```
data_Hf3Ti2Ga3
_space_group_name_H-M_alt 'I m m m'
_space_group_IT_number 71
_space_group_name_Hall '-I 2 2'
_cell_length_a 3.828
_cell_length_b 4.212
_cell_length_c 17.985
_cell_angle_alpha 90.00
_cell_angle_beta 90.00
_cell_angle_gamma 90.00
loop_
_atom_site_label
_atom_site_fract_x
_atom_site_fract_y
_atom_site_fract_z
Hf1 0.000 0.000 0.000
Hf2 0.000 0.500 0.125
Ti1 0.000 0.000 0.249
Ga1 0.000 0.000 0.500
Ga2 0.000 0.500 0.364
```

---

#b
A geometry-optimized Hf3Ti2Ga3 structure. Source: Alexandria via LeMat-Bulk, functional GGA-PBE.

Cell and atoms, written as CIF:
```
data_Hf3Ti2Ga3
_space_group_name_H-M_alt 'P 63/m c m'
_space_group_IT_number 193
_space_group_name_Hall '-P 6c 2'
_cell_length_a 7.8689
_cell_length_b 7.8689
_cell_length_c 5.4667
_cell_angle_alpha 90.00
_cell_angle_beta 90.00
_cell_angle_gamma 120.00
loop_
_atom_site_label
_atom_site_fract_x
_atom_site_fract_y
_atom_site_fract_z
Hf1 0.0000 0.2414 0.2500
Ti1 0.3333 0.6667 0.0000
Ga1 0.0000 0.4003 0.7500
```

---

Result of the stability comparison: #b is the most stable of them.

---

#a
A geometry-optimized HfTi4Ga2 structure. Source: Alexandria via LeMat-Bulk, functional GGA-PBE.

Cell and atoms, written as CIF:
```
data_HfTi4Ga2
_space_group_name_H-M_alt 'P m m m'
_space_group_IT_number 47
_space_group_name_Hall '-P 2 2'
_cell_length_a 2.839
_cell_length_b 6.615
_cell_length_c 6.633
_cell_angle_alpha 90.00
_cell_angle_beta 90.00
_cell_angle_gamma 90.00
loop_
_atom_site_label
_atom_site_fract_x
_atom_site_fract_y
_atom_site_fract_z
Hf1 0.000 0.000 0.000
Ti1 0.000 0.296 0.296
Ga1 0.500 0.000 0.500
Ga2 0.500 0.500 0.000
```

---

#b
A geometry-optimized HfTi4Ga2 structure. Source: Alexandria via LeMat-Bulk, functional GGA-PBE.

Cell and atoms, written as CIF:
```
data_HfTi4Ga2
_space_group_name_H-M_alt 'C m m m'
_space_group_IT_number 65
_space_group_name_Hall '-C 2 2'
_cell_length_a 3.960
_cell_length_b 16.604
_cell_length_c 3.749
_cell_angle_alpha 90.00
_cell_angle_beta 90.00
_cell_angle_gamma 90.00
loop_
_atom_site_label
_atom_site_fract_x
_atom_site_fract_y
_atom_site_fract_z
Hf1 0.000 0.000 0.000
Ti1 0.000 0.183 0.500
Ti2 0.000 0.311 0.000
Ga1 0.000 0.428 0.500
```

---

Result of the stability comparison: #b is the most stable of them.

---

#a
A geometry-optimized HfTiGa4 structure. Source: Alexandria via LeMat-Bulk, functional GGA-PBE.

Cell and atoms, written as CIF:
```
data_HfTiGa4
_space_group_name_H-M_alt 'R -3 m'
_space_group_IT_number 166
_space_group_name_Hall '-R 3 2"'
_cell_length_a 3.0788
_cell_length_b 3.0788
_cell_length_c 38.8715
_cell_angle_alpha 90.00
_cell_angle_beta 90.00
_cell_angle_gamma 120.00
loop_
_atom_site_label
_atom_site_fract_x
_atom_site_fract_y
_atom_site_fract_z
Hf1 0.0000 0.0000 0.0000
Ti1 0.0000 0.0000 0.5000
Ga1 0.0000 0.0000 0.1126
Ga2 0.0000 0.0000 0.3923
```

---

#b
A geometry-optimized HfTiGa4 structure. Source: Alexandria via LeMat-Bulk, functional GGA-PBE.

Cell and atoms, written as CIF:
```
data_HfTiGa4
_space_group_name_H-M_alt 'F -4 3 m'
_space_group_IT_number 216
_space_group_name_Hall 'F -4 2 3'
_cell_length_a 7.330
_cell_length_b 7.330
_cell_length_c 7.330
_cell_angle_alpha 90.00
_cell_angle_beta 90.00
_cell_angle_gamma 90.00
loop_
_atom_site_label
_atom_site_fract_x
_atom_site_fract_y
_atom_site_fract_z
Hf1 0.000 0.000 0.000
Ti1 0.250 0.250 0.750
Ga1 0.125 0.125 0.375
```

---

Result of the stability comparison: #b is the most stable of them.